# 1
# TaHgW2 (PBE, relaxed)
data_TaHgW2
_symmetry_space_group_name_H-M 'P 4 m m'
_symmetry_Int_Tables_number 99
_cell_length_a 3.299
_cell_length_b 3.299
_cell_length_c 6.540
_cell_angle_alpha 90.00
_cell_angle_beta 90.00
_cell_angle_gamma 90.00
loop_
_symmetry_equiv_pos_as_xyz
'x,y,z'
'-y,x,z'
'-x,-y,z'
'y,-x,z'
'-x,y,z'
'y,x,z'
'x,-y,z'
'-y,-x,z'
loop_
_atom_site_label
_atom_site_fract_x
_atom_site_fract_y
_atom_site_fract_z
Ta1 0.000 0.000 0.000
Hg1 0.500 0.500 0.721
W1 0.000 0.000 0.446
W2 0.500 0.500 0.231
# ΔH_f (0 K) ... 371.6 meV/atom


# 2
# CsK3Rb9 (PBE, relaxed)
data_CsK3Rb9
_symmetry_space_group_name_H-M 'C 1 2/m 1'
_symmetry_Int_Tables_number 12
_cell_length_a 9.000
_cell_length_b 22.994
_cell_length_c 12.294
_cell_angle_alpha 90.00
_cell_angle_beta 111.26
_cell_angle_gamma 90.00
loop_
_symmetry_equiv_pos_as_xyz
'x,y,z'
'-x,-y,-z'
'-x,y,-z'
'x,-y,z'
'x+1/2,y+1/2,z'
'-x+1/2,-y+1/2,-z'
'-x+1/2,y+1/2,-z'
'x+1/2,-y+1/2,z'
loop_
_atom_site_label
_atom_site_fract_x
_atom_site_fract_y
_atom_site_fract_z
Cs1 0.000 0.000 0.000
K1 0.000 0.500 0.500
K2 0.250 0.250 0.000
Rb1 0.000 0.000 0.500
Rb2 0.100 0.393 0.210
Rb3 0.177 0.177 0.351
# ΔH_f (0 K) ... 17.7 meV/atom


# 3
# Tc2NiAg (PBE, relaxed)
data_Tc2NiAg
_symmetry_space_group_name_H-M 'P 4 m m'
_symmetry_Int_Tables_number 99
_cell_length_a 2.735
_cell_length_b 2.735
_cell_length_c 7.761
_cell_angle_alpha 90.00
_cell_angle_beta 90.00
_cell_angle_gamma 90.00
loop_
_symmetry_equiv_pos_as_xyz
'x,y,z'
'-y,x,z'
'-x,-y,z'
'y,-x,z'
'-x,y,z'
'y,x,z'
'x,-y,z'
'-y,-x,z'
loop_
_atom_site_label
_atom_site_fract_x
_atom_site_fract_y
_atom_site_fract_z
Tc1 0.000 0.000 0.000
Tc2 0.500 0.500 0.237
Ni1 0.500 0.500 0.776
Ag1 0.000 0.000 0.523
# ΔH_f (0 K) ... 237.5 meV/atom
# Relative energy among the computed polymorphs ... 52 meV per atom


# 4
# TcMo2Ir (PBE, relaxed)
data_TcMo2Ir
_symmetry_space_group_name_H-M 'P 1 m 1'
_symmetry_Int_Tables_number 6
_cell_length_a 2.714
_cell_length_b 4.076
_cell_length_c 5.577
_cell_angle_alpha 90.00
_cell_angle_beta 95.78
_cell_angle_gamma 90.00
loop_
_symmetry_equiv_pos_as_xyz
'x,y,z'
'x,-y,z'
loop_
_atom_site_label
_atom_site_fract_x
_atom_site_fract_y
_atom_site_fract_z
Tc1 0.000 0.000 0.000
Mo1 0.137 0.000 0.485
Mo2 0.612 0.500 0.764
Ir1 0.566 0.500 0.261
# ΔH_f (0 K) ... 22.3 meV/atom
# Relative energy among the computed polymorphs ... 108 meV per atom


# 5
# Y2TlFe (PBE, relaxed)
data_Y2TlFe
_symmetry_space_group_name_H-M 'I -4 m 2'
_symmetry_Int_Tables_number 119
_symmetry_space_group_name_Hall 'I -4 -2'
_cell_length_a 4.411
_cell_length_b 4.411
_cell_length_c 9.889
_cell_angle_alpha 90.00
_cell_angle_beta 90.00
_cell_angle_gamma 90.00
loop_
_atom_site_label
_atom_site_fract_x
_atom_site_fract_y
_atom_site_fract_z
Y1 0.000 0.000 0.000
Y2 0.000 0.500 0.250
Tl1 0.000 0.000 0.500
Fe1 0.000 0.500 0.750
# ΔH_f (0 K) ... 90.7 meV/atom


# 6
# PrSm6Cd (PBE, relaxed)
data_PrSm6Cd
_symmetry_space_group_name_H-M 'P -1'
_symmetry_Int_Tables_number 2
_cell_length_a 6.441
_cell_length_b 6.443
_cell_length_c 6.447
_cell_angle_alpha 94.86
_cell_angle_beta 94.74
_cell_angle_gamma 94.93
loop_
_symmetry_equiv_pos_as_xyz
'x,y,z'
'-x,-y,-z'
loop_
_atom_site_label
_atom_site_fract_x
_atom_site_fract_y
_atom_site_fract_z
Pr1 0.000 0.000 0.000
Sm1 0.052 0.260 0.542
Sm2 0.260 0.541 0.053
Sm3 0.459 0.948 0.740
Cd1 0.500 0.500 0.500
# ΔH_f (0 K) ... 38.1 meV/atom
# Relative energy among the computed polymorphs ... 66 meV per atom


# 7
# SiRuCl2 (PBE, relaxed)
data_SiRuCl2
_symmetry_space_group_name_H-M 'R -3 m'
_symmetry_Int_Tables_number 166
_symmetry_space_group_name_Hall '-R 3 2"'
_cell_length_a 2.9835
_cell_length_b 2.9835
_cell_length_c 27.1078
_cell_angle_alpha 90.00
_cell_angle_beta 90.00
_cell_angle_gamma 120.00
loop_
_atom_site_label
_atom_site_fract_x
_atom_site_fract_y
_atom_site_fract_z
Si1 0.0000 0.0000 0.0000
Ru1 0.0000 0.0000 0.5000
Cl1 0.0000 0.0000 0.4166
# Energy relative to the elements, uncorrected ... 0.4101 eV/atom
# Relative energy among the computed polymorphs ... 709 meV per atom


# 8
# CsCdSbF6 (PBE, relaxed)
data_CsCdSbF6
_symmetry_space_group_name_H-M 'P 1'
_symmetry_Int_Tables_number 1
_cell_length_a 6.080
_cell_length_b 6.117
_cell_length_c 6.194
_cell_angle_alpha 60.43
_cell_angle_beta 89.81
_cell_angle_gamma 89.48
loop_
_symmetry_equiv_pos_as_xyz
'x,y,z'
loop_
_atom_site_label
_atom_site_fract_x
_atom_site_fract_y
_atom_site_fract_z
Cs1 0.000 0.000 0.000
Cd1 0.473 0.335 0.330
Sb1 0.500 0.667 0.667
F1 0.281 0.438 0.964
F2 0.282 0.971 0.600
F3 0.283 0.604 0.436
F4 0.648 0.010 0.334
F5 0.654 0.337 0.643
F6 0.657 0.644 0.020
# Energy relative to the elements, uncorrected ... -2.4157 eV/atom